a) Here is a relaxed structure of BiWNF2 from Alexandria via LeMat-Bulk. Energies are from PBE with a Hubbard U. Values from VASP.

Values from the calculation:
The value obtained for the volume is 15.7 Å³ per atom. The space group is P4/mmm, No. 123.

Cell and atoms, written as Quantum ESPRESSO input:
```
&SYSTEM
  ibrav = 0, nat = 5, ntyp = 4
/
ATOMIC_SPECIES
Bi 208.98 Bi.upf
W 183.84 W.upf
N 14.01 N.upf
F 19.00 F.upf
ATOMIC_POSITIONS angstrom
Bi 0.0000 0.0000 0.0000
W 2.1662 2.1662 2.0884
N 2.1662 2.1662 0.0000
F 0.0000 2.1662 2.0884
F 2.1662 0.0000 2.0884
CELL_PARAMETERS angstrom
4.3324 0.0000 0.0000
0.0000 4.3324 0.0000
0.0000 0.0000 4.1768
```

---

b) Here is a relaxed structure of BiWNF2 from Alexandria via LeMat-Bulk. Energies are from PBE with a Hubbard U. Values from VASP.

Values from the calculation:
The value obtained for the volume is 18.9 Å³ per atom. The space group is P4/mmm, No. 123.

Cell and atoms, written as Quantum ESPRESSO input:
```
&SYSTEM
  ibrav = 0, nat = 5, ntyp = 4
/
ATOMIC_SPECIES
Bi 208.98 Bi.upf
W 183.84 W.upf
N 14.01 N.upf
F 19.00 F.upf
ATOMIC_POSITIONS angstrom
Bi 0.0000 0.0000 0.0000
W 2.2323 2.2323 2.3669
N 0.0000 0.0000 2.3669
F 0.0000 2.2323 0.0000
F 2.2323 0.0000 0.0000
CELL_PARAMETERS angstrom
4.4647 0.0000 0.0000
0.0000 4.4647 0.0000
0.0000 0.0000 4.7338
```

---

a) (693 meV/atom below the next structure)